No. 1
First-principles (GGA-PBE) data for crystalline Zr2AlFe at its relaxed geometry, as listed in Alexandria.

Summary:
Crystal system = cubic
DFT total energy = -7.32 eV/atom
Theoretical density = 6.38 g/cm³

Cell and atoms, written as POSCAR:
```
Zr2AlFe
1.0
0.0000 3.2568 3.2568
3.2568 0.0000 3.2568
3.2568 3.2568 0.0000
Zr Al Fe
2 1 1
direct
0.0000 0.0000 0.0000 Zr
0.2500 0.2500 0.2500 Zr
0.5000 0.5000 0.5000 Al
0.7500 0.7500 0.7500 Fe
```


No. 2
First-principles (GGA-PBE) data for crystalline ZrAl2Fe at its relaxed geometry, as listed in Alexandria.

Summary:
Crystal system = tetragonal
DFT total energy = -6.42 eV/atom
Theoretical density = 5.34 g/cm³

Cell and atoms, written as POSCAR:
```
ZrAl2Fe
1.0
3.0652 0.0000 0.0000
0.0000 3.0652 0.0000
0.0000 0.0000 6.6572
Zr Al Fe
1 2 1
direct
0.0000 0.0000 0.0000 Zr
0.0000 0.0000 0.5630 Al
0.5000 0.5000 0.3076 Al
0.5000 0.5000 0.7416 Fe
```